#one
Compound: Ge2RuW
Source: Alexandria
Functional: GGA-PBE
Structure: optimized geometry

Properties
The total magnetic moment is 0.0 μB per cell. The calculation puts the density of states at the Fermi level at 2.7 states/eV/f.u.

a b c (Å): 3.846 3.846 9.388
angles (deg): 78.18 78.18 90.00
Positions (direct):
Ge (0.875, 0.864, 0.750)
Ru (0.500, 0.500, 0.000)
Ge (0.375, 0.386, 0.750)
W (0.000, 0.000, 0.000)
Ge (0.614, 0.125, 0.250)
Ru (0.250, 0.750, 0.500)
Ge (0.136, 0.625, 0.250)
W (0.750, 0.250, 0.500)

---

#two
Compound: Ge2RuW
Source: Alexandria
Functional: GGA-PBE
Structure: optimized geometry

Properties
The total magnetic moment is 0.0 μB per cell. The calculation puts the density of states at the Fermi level at 5.9 states/eV/f.u.

a b c (Å): 4.423 4.423 4.423
angles (deg): 60.00 60.00 60.00
Positions (direct):
Ru (0.000, 0.000, 0.000)
W (0.500, 0.500, 0.500)
Ge (0.750, 0.750, 0.750)
Ge (0.250, 0.250, 0.250)

---

Consider the structures shown above. The most stable of them is #two.